# PBE-GGA K3NiAs, optimized geometry
# Total magnetization   2.0 μB per formula unit
# Uncorrected energy   -2.248 eV per atom
# Crystal system   cubic
data_K3NiAs
_chemical_formula_sum 'K3 Ni1 As1'
_cell_length_a 6.338
_cell_length_b 6.338
_cell_length_c 6.338
_cell_angle_alpha 90.00
_cell_angle_beta 90.00
_cell_angle_gamma 90.00
_space_group_name_H-M_alt 'P m -3 m'
_space_group_IT_number 221
_space_group_name_Hall '-P 4 2 3'
loop_
_atom_site_label
_atom_site_type_symbol
_atom_site_fract_x
_atom_site_fract_y
_atom_site_fract_z
K1 K 0.000 0.000 0.500
Ni1 Ni 0.500 0.500 0.500
As1 As 0.000 0.000 0.000